[1]
12
Lattice="-0.6008 1.1100 4.1576 -3.1740 -1.9949 -2.1965 2.5377 -6.2907 2.0463" Properties=species:S:1:pos:R:3 comment="PBE Be8V3Tc, relaxed" magnetic_moment_mub_per_fu=0.000 delta_e_f_mev_per_atom=-330 total_energy_ev_per_cell=-71.5 pbc="T T T"
V -1.2882 -0.3473 2.1770
V -0.3514 -2.6695 2.9323
V 2.3674 -5.8686 1.9090
Be -2.1233 -3.0555 -0.6526
Be -0.4995 -2.0350 0.4711
Be 1.5798 -4.1779 3.6142
Be -2.3116 -0.9716 -0.0747
Be -0.2671 -4.6108 4.5736
Be 0.0269 -5.1539 2.5396
Be -1.0495 -4.1002 0.9431
Be -2.4307 -2.4876 1.4744
Tc 1.4302 -3.5452 1.1532

***

[2]
4
Lattice="-0.6539 2.4972 1.8692 1.1966 0.1385 2.9507 4.3887 3.3443 -0.2156" Properties=species:S:1:pos:R:3 comment="PBE Be2VTc, relaxed" magnetic_moment_mub_per_fu=0.000 delta_e_f_mev_per_atom=245 total_energy_ev_per_cell=-26.0 pbc="T T T"
Be 3.7132 4.4937 3.4468
Be 1.2182 1.4864 1.1574
V 2.4657 2.9900 2.3021
Tc 0.0000 0.0000 0.0000

***

[3]
19
Lattice="5.4232 0.0165 0.6583 0.5852 5.3915 0.6583 0.0184 0.0165 5.4629" Properties=species:S:1:pos:R:3 comment="PBE Be17VTc, relaxed" magnetic_moment_mub_per_fu=0.000 delta_e_f_mev_per_atom=-153 total_energy_ev_per_cell=-85.7 pbc="T T T"
Be 3.9051 3.5149 1.7563
Be 0.4187 3.7588 2.1084
Be 0.1951 1.6393 4.0030
Be 0.6099 0.5489 0.6860
Be 3.7820 0.0221 2.1084
Be 5.4239 4.8819 6.1014
Be 6.0009 5.4013 4.0605
Be 3.9526 1.6393 0.6628
Be 5.7207 2.7446 6.4353
Be 2.1121 1.9011 5.0649
Be 4.7826 1.9011 2.6910
Be 2.0448 3.7588 0.6628
Be 2.3922 4.5568 2.6910
Be 3.3294 5.4013 6.4353
Be 1.6507 0.0221 4.0030
Be 3.6305 0.9109 4.0840
Be 1.2867 3.5149 4.0840
V 3.9866 3.5883 4.4846
Tc 2.0299 1.8271 2.2834

***

Copy entry 2 word for word.
4
Lattice="-0.6539 2.4972 1.8692 1.1966 0.1385 2.9507 4.3887 3.3443 -0.2156" Properties=species:S:1:pos:R:3 comment="PBE Be2VTc, relaxed" magnetic_moment_mub_per_fu=0.000 delta_e_f_mev_per_atom=245 total_energy_ev_per_cell=-26.0 pbc="T T T"
Be 3.7132 4.4937 3.4468
Be 1.2182 1.4864 1.1574
V 2.4657 2.9900 2.3021
Tc 0.0000 0.0000 0.0000

***

Please write out number 1 again, unchanged.
12
Lattice="-0.6008 1.1100 4.1576 -3.1740 -1.9949 -2.1965 2.5377 -6.2907 2.0463" Properties=species:S:1:pos:R:3 comment="PBE Be8V3Tc, relaxed" magnetic_moment_mub_per_fu=0.000 delta_e_f_mev_per_atom=-330 total_energy_ev_per_cell=-71.5 pbc="T T T"
V -1.2882 -0.3473 2.1770
V -0.3514 -2.6695 2.9323
V 2.3674 -5.8686 1.9090
Be -2.1233 -3.0555 -0.6526
Be -0.4995 -2.0350 0.4711
Be 1.5798 -4.1779 3.6142
Be -2.3116 -0.9716 -0.0747
Be -0.2671 -4.6108 4.5736
Be 0.0269 -5.1539 2.5396
Be -1.0495 -4.1002 0.9431
Be -2.4307 -2.4876 1.4744
Tc 1.4302 -3.5452 1.1532